Version i
# InSb2Br

A relaxed InSb2Br crystal (PBE, Alexandria).

Calculated values
The value obtained for the total moment is 0.00 μB/f.u.

```
InSb2Br
1.0
3.422 0.000 0.000
0.000 5.678 0.000
0.000 0.000 5.758
In Sb Br
1 2 1
Cartesian
0.000 0.000 0.000
0.000 2.839 2.879
1.711 0.000 2.879
1.711 2.839 0.000
```



Version ii
# InSb2Br

A relaxed InSb2Br crystal (PBE, Alexandria).

Calculated values
The value obtained for the total moment is 0.00 μB/f.u.

```
InSb2Br
1.0
3.042 -6.622 0.000
3.042 6.622 0.000
-3.030 0.000 3.116
In Sb Br
1 2 1
Cartesian
0.000 0.000 0.000
0.006 3.311 1.558
0.006 -3.311 1.558
3.042 0.000 0.000
```



Version iii
# InSb2Br

A relaxed InSb2Br crystal (PBE, Alexandria).

Calculated values
The value obtained for the total moment is 0.00 μB/f.u.

```
InSb2Br
1.0
4.295 0.000 0.000
0.000 4.295 0.000
0.000 0.000 7.188
In Sb Br
1 2 1
Cartesian
0.000 0.000 0.000
0.000 2.148 3.594
2.148 0.000 3.594
2.148 2.148 0.000
```



Version iv
# InSb2Br

A relaxed InSb2Br crystal (PBE, Alexandria).

Calculated values
The value obtained for the total moment is 0.00 μB/f.u.

```
InSb2Br
1.0
1.776 1.025 9.973
-1.776 1.025 9.973
0.000 -2.051 9.973
In Sb Br
1 2 1
Cartesian
0.000 0.000 0.000
0.000 0.000 7.504
0.000 0.000 22.416
0.000 0.000 14.960
```



version ii is preferred energetically. Next in line: 21 meV/atom higher.



Version i
# InSb2Br

A relaxed InSb2Br crystal (PBE, Alexandria).

Calculated values
The value obtained for the total moment is 0.00 μB/f.u.

```
InSb2Br
1.0
-2.243 2.243 12.537
2.243 -2.243 12.537
2.243 2.243 -12.537
In Sb Br
2 4 2
Cartesian
0.000 0.000 0.000
0.000 2.243 6.268
3.364 0.911 -3.134
0.911 1.121 3.134
-1.121 1.332 9.402
1.332 1.121 15.671
2.243 0.000 6.268
0.000 0.000 12.537
```



Version ii
# InSb2Br

A relaxed InSb2Br crystal (PBE, Alexandria).

Calculated values
The value obtained for the total moment is 0.00 μB/f.u.

```
InSb2Br
1.0
4.874 0.000 0.000
0.000 4.498 0.000
-2.206 0.000 5.735
In Sb Br
1 2 1
Cartesian
0.000 0.000 0.000
-0.664 2.249 4.632
3.332 2.249 1.104
1.334 0.000 2.868
```



version ii is preferred energetically. Next in line: 40 meV/atom higher.



Version i
# InSb2Br

A relaxed InSb2Br crystal (PBE, Alexandria).

Calculated values
The value obtained for the total moment is 0.00 μB/f.u.

```
InSb2Br
1.0
0.000 3.763 3.763
3.763 0.000 3.763
3.763 3.763 0.000
In Sb Br
1 2 1
Cartesian
0.000 0.000 0.000
1.881 1.881 1.881
5.644 5.644 5.644
3.763 3.763 3.763
```



Version ii
# InSb2Br

A relaxed InSb2Br crystal (PBE, Alexandria).

Calculated values
The value obtained for the total moment is 0.00 μB/f.u.

```
InSb2Br
1.0
1.933 -2.824 0.000
1.933 2.824 0.000
0.000 0.000 9.926
In Sb Br
1 2 1
Cartesian
0.000 0.000 0.000
1.933 0.000 2.499
1.933 0.000 7.427
0.000 0.000 4.963
```



Version iii
# InSb2Br

A relaxed InSb2Br crystal (PBE, Alexandria).

Calculated values
The value obtained for the total moment is 0.00 μB/f.u.

```
InSb2Br
1.0
5.607 0.000 0.000
0.000 5.607 0.000
0.000 0.000 3.468
In Sb Br
1 2 1
Cartesian
0.000 0.000 0.000
0.000 2.803 1.734
2.803 0.000 1.734
2.803 2.803 0.000
```



Version iv
# InSb2Br

A relaxed InSb2Br crystal (PBE, Alexandria).

Calculated values
The value obtained for the total moment is 0.00 μB/f.u.

```
InSb2Br
1.0
0.000 3.816 3.816
3.816 0.000 3.816
3.816 3.816 0.000
In Sb Br
1 2 1
Cartesian
0.000 0.000 0.000
1.908 1.908 1.908
3.816 3.816 3.816
5.724 5.724 5.724
```



version iv is preferred energetically. Next in line: 118 meV/atom higher.



Version i
# InSb2Br

A relaxed InSb2Br crystal (PBE, Alexandria).

Calculated values
The value obtained for the total moment is 0.00 μB/f.u.

```
InSb2Br
1.0
3.396 0.000 0.000
0.000 5.408 0.000
0.000 0.000 6.433
In Sb Br
1 2 1
Cartesian
0.000 0.000 0.000
1.698 2.704 1.415
1.698 2.704 5.018
0.000 0.000 3.217
```



Version ii
# InSb2Br

A relaxed InSb2Br crystal (PBE, Alexandria).

Calculated values
The value obtained for the total moment is 0.00 μB/f.u.

```
InSb2Br
1.0
3.773 0.000 0.000
0.000 3.773 0.000
0.000 0.000 9.163
In Sb Br
1 2 1
Cartesian
0.000 0.000 0.000
0.000 0.000 4.406
1.886 1.886 2.920
1.886 1.886 7.541
```



version ii is preferred energetically. Next in line: 222 meV/atom higher.



Version i
# InSb2Br

A relaxed InSb2Br crystal (PBE, Alexandria).

Calculated values
The value obtained for the total moment is 0.00 μB/f.u.

```
InSb2Br
1.0
6.548 -1.822 0.000
6.548 1.822 0.000
-1.644 0.000 4.845
In Sb Br
1 2 1
Cartesian
0.000 0.000 0.000
2.484 0.000 3.916
8.969 0.000 0.929
5.726 0.000 2.422
```



Version ii
# InSb2Br

A relaxed InSb2Br crystal (PBE, Alexandria).

Calculated values
The value obtained for the total moment is 0.00 μB/f.u.

```
InSb2Br
1.0
5.747 -2.034 0.000
5.747 2.034 0.000
-4.384 0.000 5.894
In Sb Br
1 2 1
Cartesian
0.000 0.000 0.000
-1.269 0.000 5.016
4.290 0.000 3.013
7.048 0.000 2.378
```



Version iii
# InSb2Br

A relaxed InSb2Br crystal (PBE, Alexandria).

Calculated values
The value obtained for the total moment is 0.00 μB/f.u.

```
InSb2Br
1.0
-2.028 2.543 6.260
2.028 -2.543 6.260
2.028 2.543 -6.260
In Sb Br
1 2 1
Cartesian
0.000 0.000 0.000
2.028 0.000 3.198
0.000 0.000 5.204
0.000 2.543 2.141
```



version ii is preferred energetically. Next in line: 56 meV/atom higher.



Version i
# InSbBr

A relaxed InSbBr crystal (PBE, Alexandria).

Calculated values
The value obtained for the total moment is 0.00 μB/f.u.

```
InSbBr
1.0
5.849 -2.595 0.000
5.849 2.595 0.000
-1.042 0.000 6.561
In Sb Br
2 2 2
Cartesian
1.882 0.000 1.823
8.774 0.000 4.738
4.014 0.000 3.830
6.642 0.000 2.731
0.743 0.000 5.749
9.913 0.000 0.812
```



Version ii
# InSbBr

A relaxed InSbBr crystal (PBE, Alexandria).

Calculated values
The value obtained for the total moment is 0.00 μB/f.u.

```
InSbBr
1.0
-1.723 1.723 7.549
1.723 -1.723 7.549
1.723 1.723 -7.549
In Sb Br
1 1 1
Cartesian
0.000 0.000 0.000
0.000 0.000 5.262
0.000 0.000 9.420
```



version i is preferred energetically. Next in line: 265 meV/atom higher.



Version i
# InSbBr

A relaxed InSbBr crystal (PBE, Alexandria).

Calculated values
The value obtained for the total moment is 0.00 μB/f.u.

```
InSbBr
1.0
0.000 2.775 7.481
2.111 0.000 7.481
2.111 2.775 0.000
In Sb Br
1 1 1
Cartesian
0.000 0.000 0.000
2.111 2.775 9.788
2.111 2.775 5.458
```



Version ii
# InSbBr

A relaxed InSbBr crystal (PBE, Alexandria).

Calculated values
The value obtained for the total moment is 0.00 μB/f.u.

```
InSbBr
1.0
3.491 0.000 0.000
0.001 4.206 0.000
1.696 0.004 13.826
In Sb Br
2 2 2
Cartesian
0.000 0.000 0.000
1.826 2.108 6.335
1.774 2.113 11.078
1.758 0.010 9.086
1.755 2.109 1.409
3.566 0.010 4.926
```



Version iii
# InSbBr

A relaxed InSbBr crystal (PBE, Alexandria).

Calculated values
The value obtained for the total moment is 0.00 μB/f.u.

```
InSbBr
1.0
-1.838 2.572 5.326
1.838 -2.572 5.326
1.838 2.572 -5.326
In Sb Br
1 1 1
Cartesian
0.000 0.000 0.000
0.000 0.000 5.811
0.000 0.000 3.112
```



version ii is preferred energetically. Next in line: 224 meV/atom higher.



Version i
# InSbBr

A relaxed InSbBr crystal (PBE, Alexandria).

Calculated values
The value obtained for the total moment is 0.00 μB/f.u.

```
InSbBr
1.0
5.212 0.000 0.000
-2.606 4.513 0.000
0.000 0.000 3.614
In Sb Br
1 1 1
Cartesian
0.000 0.000 0.000
2.606 1.504 3.597
0.000 3.009 1.802
```



Version ii
# InSbBr

A relaxed InSbBr crystal (PBE, Alexandria).

Calculated values
The value obtained for the total moment is 0.00 μB/f.u.

```
InSbBr
1.0
3.881 0.000 0.000
-1.940 3.361 0.000
0.000 0.000 7.543
In Sb Br
1 1 1
Cartesian
0.000 0.000 0.000
0.000 2.240 1.922
1.940 1.120 5.649
```



version ii is preferred energetically. Next in line: 102 meV/atom higher.



Version i
# In2Sb2Br

A relaxed In2Sb2Br crystal (PBE, Alexandria).

Calculated values
The value obtained for the total moment is 0.00 μB/f.u.

```
In2Sb2Br
1.0
-2.177 2.177 8.275
2.177 -2.177 8.275
2.177 2.177 -8.275
In Sb Br
2 2 1
Cartesian
0.000 0.000 1.539
0.000 0.000 15.010
2.177 0.000 4.137
0.000 2.177 4.137
0.000 0.000 8.275
```



Version ii
# In2Sb2Br

A relaxed In2Sb2Br crystal (PBE, Alexandria).

Calculated values
The value obtained for the total moment is 0.00 μB/f.u.

```
In2Sb2Br
1.0
8.781 0.000 0.000
0.000 8.781 0.000
0.000 0.000 3.707
In Sb Br
4 4 2
Cartesian
1.307 3.083 0.000
3.083 7.474 0.000
5.698 1.307 0.000
7.474 5.698 0.000
1.314 5.705 1.853
3.076 1.314 1.853
5.705 7.467 1.853
7.467 3.076 1.853
0.000 0.000 1.853
4.391 4.391 1.853
```



version i is preferred energetically. Next in line: 121 meV/atom higher.



Version i
# In2Sb2Br

A relaxed In2Sb2Br crystal (PBE, Alexandria).

Calculated values
The value obtained for the total moment is 0.00 μB/f.u.

```
In2Sb2Br
1.0
8.842 0.000 0.000
0.000 8.842 0.000
0.000 0.000 3.642
In Sb Br
4 4 2
Cartesian
1.442 2.979 0.000
2.979 7.400 0.000
5.863 1.442 0.000
7.400 5.863 0.000
1.177 5.598 1.821
3.244 1.177 1.821
5.598 7.665 1.821
7.665 3.244 1.821
0.000 0.000 0.000
4.421 4.421 0.000
```



Version ii
# In2Sb2Br

A relaxed In2Sb2Br crystal (PBE, Alexandria).

Calculated values
The value obtained for the total moment is 0.00 μB/f.u.

```
In2Sb2Br
1.0
-2.790 2.790 4.977
2.790 -2.790 4.977
2.790 2.790 -4.977
In Sb Br
2 2 1
Cartesian
2.790 0.000 2.488
0.000 2.790 2.488
0.000 0.000 1.411
0.000 0.000 8.542
0.000 0.000 4.977
```



version ii is preferred energetically. Next in line: 210 meV/atom higher.



Version i
# ScIn2Br

A relaxed ScIn2Br crystal (PBE, Alexandria).

Calculated values
The value obtained for the total moment is 0.49 μB/f.u.

```
ScIn2Br
1.0
3.317 0.000 0.000
0.000 3.317 0.000
0.000 0.000 9.914
Sc In Br
1 2 1
Cartesian
0.000 0.000 0.000
0.000 0.000 5.287
1.659 1.659 7.763
1.659 1.659 1.622
```



Version ii
# ScIn2Br

A relaxed ScIn2Br crystal (PBE, Alexandria).

Calculated values
The value obtained for the total moment is 0.00 μB/f.u.

```
ScIn2Br
1.0
3.502 0.000 0.000
0.000 5.284 0.000
-0.065 0.000 5.604
Sc In Br
1 2 1
Cartesian
0.000 0.000 0.000
1.657 2.642 1.375
1.780 2.642 4.229
-0.032 0.000 2.802
```



version i is preferred energetically. Next in line: 237 meV/atom higher.